## In2SiAg (PBE)

Data for a relaxed In2SiAg crystal.

a b c (Å): 4.3764 4.3764 8.9728
angles (deg): 90.00 90.00 90.00
Closest atoms and distances in Å follow each position.
Space group I-4m2 (No. 119)
Inequivalent atoms, fractional coordinates:
In1 0.0000 0.0000 0.0000 (multiplicity 2)  4 Ag 3.09, 4 In 3.13, 4 Si 3.13
In2 0.0000 0.5000 0.2500 (multiplicity 2)  4 Si 3.09, 4 In 3.13, 4 Ag 3.13
Si1 0.0000 0.5000 0.7500 (multiplicity 2)  8 In 3.09-3.13, 4 Ag 3.13
Ag1 0.0000 0.0000 0.5000 (multiplicity 2)  8 In 3.09-3.13, 4 Si 3.13

Calculated density: 7065 kg/m3
ΔE_f (raw): 0.2916 eV/atom

## In2SiAg (PBE)

Data for a relaxed In2SiAg crystal.

a b c (Å): 3.4163 3.4163 25.6326
angles (deg): 90.00 90.00 120.00
Closest atoms and distances in Å follow each position.
Space group R-3m (No. 166, hexagonal axes)
Inequivalent atoms, fractional coordinates:
In1 0.0000 0.0000 0.2484 (multiplicity 6)  3 Si 2.88, 3 Ag 2.94
Si1 0.0000 0.0000 0.5000 (multiplicity 3)  6 In 2.88
Ag1 0.0000 0.0000 0.0000 (multiplicity 3)  6 In 2.94

Calculated density: 7030 kg/m3
ΔE_f (raw): 0.2339 eV/atom

## InSi2Ag (PBE)

Data for a relaxed InSi2Ag crystal.

a b c (Å): 2.9201 3.4246 7.5575
angles (deg): 90.00 90.00 90.00
Closest atoms and distances in Å follow each position.
Space group Pmm2 (No. 25)
Inequivalent atoms, fractional coordinates:
In1 0.0000 0.0000 0.0000 (multiplicity 1)  2 In 2.92, 4 Ag 3.12, 4 Si 3.26
Si1 0.0000 0.0000 0.4801 (multiplicity 1)  4 Si 2.58, 4 Ag 2.87
Si2 0.5000 0.5000 0.3122 (multiplicity 1)  4 Si 2.58
Ag1 0.5000 0.5000 0.7150 (multiplicity 1)  5 Si 2.87-3.04, 2 Ag 2.92, 4 In 3.12

Calculated density: 6127 kg/m3
ΔE_f (raw): 0.3413 eV/atom

## InSi2Ag (PBE)

Data for a relaxed InSi2Ag crystal.

a b c (Å): 3.8673 4.6394 4.6923
angles (deg): 90.00 90.24 90.00
Closest atoms and distances in Å follow each position.
Space group P2/m (No. 10)
Inequivalent atoms, fractional coordinates:
In1 0.0000 0.0000 0.0000 (multiplicity 1)  4 Si 2.97, 4 Ag 3.03-3.05
Si1 0.2426 0.5000 0.3418 (multiplicity 2)  2 Si 2.40-2.48, 2 Ag 2.63
Ag1 0.5000 0.0000 0.5000 (multiplicity 1)  4 Si 2.63

Calculated density: 5500 kg/m3
ΔE_f (raw): 0.3372 eV/atom

no.,final energy (Ry per atom)
1,-0.2312
2,-0.2355
3,-0.2769
4,-0.2772